VASP calculation (PBE) on a relaxed AlCdSbI2 crystal.

The structure in CIF format:
```
data_AlCdSbI2
_chemical_formula_sum 'Al1 Cd1 Sb1 I2'
_space_group_name_H-M_alt 'P 4/m m m'
_space_group_IT_number 123
_space_group_name_Hall '-P 4 2'
_cell_length_a 6.127
_cell_length_b 6.127
_cell_length_c 5.720
_cell_angle_alpha 90.00
_cell_angle_beta 90.00
_cell_angle_gamma 90.00
loop_
_atom_site_label
_atom_site_type_symbol
_atom_site_fract_x
_atom_site_fract_y
_atom_site_fract_z
_atom_site_occupancy
Al1 Al 0.000 0.000 0.000 1
Cd1 Cd 0.500 0.500 0.000 1
Sb1 Sb 0.000 0.000 0.500 1
I1 I 0.000 0.500 0.500 1
```

Summary:
E, eV per atom: -2.121
Formation energy (no corrections), eV/atom: 0.255
Total moment, μB per formula unit: 0.00
E above lowest polymorph, kJ/mol of atoms: 10.35
Theoretical density, g cm⁻³: 4.0

=====

VASP calculation (PBE) on a relaxed Rb3BaAu crystal.

The structure in CIF format:
```
data_Rb3BaAu
_chemical_formula_sum 'Rb3 Ba1 Au1'
_space_group_name_H-M_alt 'P m -3 m'
_space_group_IT_number 221
_space_group_name_Hall '-P 4 2 3'
_cell_length_a 8.483
_cell_length_b 8.483
_cell_length_c 8.483
_cell_angle_alpha 90.00
_cell_angle_beta 90.00
_cell_angle_gamma 90.00
loop_
_atom_site_label
_atom_site_type_symbol
_atom_site_fract_x
_atom_site_fract_y
_atom_site_fract_z
_atom_site_occupancy
Rb1 Rb 0.000 0.000 0.500 1
Ba1 Ba 0.000 0.000 0.000 1
Au1 Au 0.500 0.500 0.500 1
```

Summary:
E, eV per atom: -0.960
Total moment, μB per formula unit: 2.00
E above lowest polymorph, kJ/mol of atoms: 60.25
Theoretical density, g cm⁻³: 1.6

=====

VASP calculation (PBE) on a relaxed Sc2PaO crystal.

The structure in CIF format:
```
data_Sc2PaO
_chemical_formula_sum 'Sc2 Pa1 O1'
_space_group_name_H-M_alt 'P 4/m m m'
_space_group_IT_number 123
_space_group_name_Hall '-P 4 2'
_cell_length_a 2.937
_cell_length_b 2.937
_cell_length_c 8.043
_cell_angle_alpha 90.00
_cell_angle_beta 90.00
_cell_angle_gamma 90.00
loop_
_atom_site_label
_atom_site_type_symbol
_atom_site_fract_x
_atom_site_fract_y
_atom_site_fract_z
_atom_site_occupancy
Sc1 Sc 0.000 0.000 0.177 1
Pa1 Pa 0.500 0.500 0.500 1
O1 O 0.500 0.500 0.000 1
```

Summary:
E, eV per atom: -7.686
Formation energy (no corrections), eV/atom: -0.906
Total moment, μB per formula unit: 0.03
E above lowest polymorph, kJ/mol of atoms: 34.56
Theoretical density, g cm⁻³: 8.1

=====

VASP calculation (PBE) on a relaxed LiTiPt2 crystal.

The structure in CIF format:
```
data_LiTiPt2
_chemical_formula_sum 'Li1 Ti1 Pt2'
_space_group_name_H-M_alt 'P 4/m m m'
_space_group_IT_number 123
_space_group_name_Hall '-P 4 2'
_cell_length_a 4.534
_cell_length_b 4.534
_cell_length_c 2.873
_cell_angle_alpha 90.00
_cell_angle_beta 90.00
_cell_angle_gamma 90.00
loop_
_atom_site_label
_atom_site_type_symbol
_atom_site_fract_x
_atom_site_fract_y
_atom_site_fract_z
_atom_site_occupancy
Li1 Li 0.000 0.000 0.000 1
Ti1 Ti 0.500 0.500 0.000 1
Pt1 Pt 0.000 0.500 0.500 1
```

Summary:
E, eV per atom: -6.232
Total moment, μB per formula unit: 0.00
E above lowest polymorph, kJ/mol of atoms: 10.17
Theoretical density, g cm⁻³: 12.5

=====

VASP calculation (PBE) on a relaxed PrAl3ZnPd crystal.

The structure in CIF format:
```
data_PrAl3ZnPd
_chemical_formula_sum 'Pr4 Al12 Zn4 Pd4'
_space_group_name_H-M_alt 'C m c m'
_space_group_IT_number 63
_space_group_name_Hall '-C 2c 2'
_cell_length_a 5.993
_cell_length_b 13.361
_cell_length_c 5.899
_cell_angle_alpha 90.00
_cell_angle_beta 90.00
_cell_angle_gamma 90.00
loop_
_atom_site_label
_atom_site_type_symbol
_atom_site_fract_x
_atom_site_fract_y
_atom_site_fract_z
_atom_site_occupancy
Pr1 Pr 0.000 0.201 0.250 1
Al1 Al 0.000 0.370 0.750 1
Al2 Al 0.216 0.000 0.000 1
Zn1 Zn 0.000 0.151 0.750 1
Pd1 Pd 0.000 0.412 0.250 1
```

Summary:
E, eV per atom: -4.125
Total moment, μB per formula unit: 0.00
Theoretical density, g cm⁻³: 5.5

=====

VASP calculation (PBE) on a relaxed LaCu2Br crystal.

The structure in CIF format:
```
data_LaCu2Br
_chemical_formula_sum 'La1 Cu2 Br1'
_space_group_name_H-M_alt 'P 1 m 1'
_space_group_IT_number 6
_cell_length_a 3.518
_cell_length_b 3.503
_cell_length_c 7.580
_cell_angle_alpha 90.00
_cell_angle_beta 103.31
_cell_angle_gamma 90.00
loop_
_space_group_symop_operation_xyz
'x,y,z'
'x,-y,z'
loop_
_atom_site_label
_atom_site_type_symbol
_atom_site_fract_x
_atom_site_fract_y
_atom_site_fract_z
_atom_site_occupancy
La1 La 0.000 0.000 0.000 1
Cu1 Cu 0.186 0.000 0.376 1
Cu2 Cu 0.638 0.500 0.280 1
Br1 Br 0.370 0.500 0.738 1
```

Summary:
E, eV per atom: -4.052
Formation energy (no corrections), eV/atom: -0.354
Total moment, μB per formula unit: 0.00
E above lowest polymorph, kJ/mol of atoms: 13.75
Theoretical density, g cm⁻³: 6.3

=====

VASP calculation (PBE) on a relaxed Pm2Ho2Pt3 crystal.

The structure in CIF format:
```
data_Pm2Ho2Pt3
_chemical_formula_sum 'Pm2 Ho2 Pt3'
_space_group_name_H-M_alt 'P -1'
_space_group_IT_number 2
_cell_length_a 4.188
_cell_length_b 6.891
_cell_length_c 7.303
_cell_angle_alpha 99.33
_cell_angle_beta 90.04
_cell_angle_gamma 107.67
loop_
_space_group_symop_operation_xyz
'x,y,z'
'-x,-y,-z'
loop_
_atom_site_label
_atom_site_type_symbol
_atom_site_fract_x
_atom_site_fract_y
_atom_site_fract_z
_atom_site_occupancy
Pm1 Pm 0.135 0.269 0.358 1
Ho1 Ho 0.369 0.739 0.090 1
Pt1 Pt 0.000 0.000 0.000 1
Pt2 Pt 0.234 0.469 0.744 1
```

Summary:
E, eV per atom: -6.249
Total moment, μB per formula unit: 0.00
E above lowest polymorph, kJ/mol of atoms: 5.93
Theoretical density, g cm⁻³: 10.1

=====

VASP calculation (PBE) on a relaxed CaYCr2 crystal.

The structure in CIF format:
```
data_CaYCr2
_chemical_formula_sum 'Ca2 Y2 Cr4'
_space_group_name_H-M_alt 'I m m 2'
_space_group_IT_number 44
_cell_length_a 3.715
_cell_length_b 5.196
_cell_length_c 9.731
_cell_angle_alpha 90.00
_cell_angle_beta 90.00
_cell_angle_gamma 90.00
loop_
_space_group_symop_operation_xyz
'x,y,z'
'-x,-y,z'
'-x,y,z'
'x,-y,z'
'x+1/2,y+1/2,z+1/2'
'-x+1/2,-y+1/2,z+1/2'
'-x+1/2,y+1/2,z+1/2'
'x+1/2,-y+1/2,z+1/2'
loop_
_atom_site_label
_atom_site_type_symbol
_atom_site_fract_x
_atom_site_fract_y
_atom_site_fract_z
_atom_site_occupancy
Ca1 Ca 0.000 0.000 0.000 1
Y1 Y 0.000 0.500 0.207 1
Cr1 Cr 0.000 0.000 0.426 1
Cr2 Cr 0.000 0.500 0.777 1
```

Summary:
E, eV per atom: -6.487
Total moment, μB per formula unit: 0.11
Theoretical density, g cm⁻³: 4.1

=====

VASP calculation (PBE) on a relaxed TmPa2CuN5 crystal.

The structure in CIF format:
```
data_TmPa2CuN5
_chemical_formula_sum 'Tm4 Pa8 Cu4 N20'
_space_group_name_H-M_alt 'C m c 21'
_space_group_IT_number 36
_cell_length_a 3.381
_cell_length_b 13.425
_cell_length_c 10.432
_cell_angle_alpha 90.00
_cell_angle_beta 90.00
_cell_angle_gamma 90.00
loop_
_space_group_symop_operation_xyz
'x,y,z'
'-x,-y,z+1/2'
'-x,y,z'
'x,-y,z+1/2'
'x+1/2,y+1/2,z'
'-x+1/2,-y+1/2,z+1/2'
'-x+1/2,y+1/2,z'
'x+1/2,-y+1/2,z+1/2'
loop_
_atom_site_label
_atom_site_type_symbol
_atom_site_fract_x
_atom_site_fract_y
_atom_site_fract_z
_atom_site_occupancy
Tm1 Tm 0.000 0.184 0.000 1
Pa1 Pa 0.000 0.126 0.297 1
Pa2 Pa 0.000 0.132 0.688 1
Cu1 Cu 0.000 0.498 0.001 1
N1 N 0.000 0.032 0.097 1
N2 N 0.000 0.301 0.338 1
N3 N 0.000 0.301 0.668 1
N4 N 0.000 0.349 0.040 1
N5 N 0.000 0.487 0.812 1
```

Summary:
E, eV per atom: -8.761
Formation energy (no corrections), eV/atom: -1.073
Total moment, μB per formula unit: 0.00
Theoretical density, g cm⁻³: 10.7

=====

VASP calculation (PBE) on a relaxed CrCI3 crystal.

The structure in CIF format:
```
data_CrCI3
_chemical_formula_sum 'Cr1 C1 I3'
_space_group_name_H-M_alt 'P m -3 m'
_space_group_IT_number 221
_space_group_name_Hall '-P 4 2 3'
_cell_length_a 5.489
_cell_length_b 5.489
_cell_length_c 5.489
_cell_angle_alpha 90.00
_cell_angle_beta 90.00
_cell_angle_gamma 90.00
loop_
_atom_site_label
_atom_site_type_symbol
_atom_site_fract_x
_atom_site_fract_y
_atom_site_fract_z
_atom_site_occupancy
Cr1 Cr 0.000 0.000 0.000 1
C1 C 0.500 0.500 0.500 1
I1 I 0.000 0.000 0.500 1
```

Summary:
E, eV per atom: -3.294
Formation energy (no corrections), eV/atom: 1.405
Total moment, μB per formula unit: 5.00
E above lowest polymorph, kJ/mol of atoms: 10.31
Theoretical density, g cm⁻³: 4.5